(1)
DFT (GGA-PBE) results for a geometry-optimized Sb5W structure.

a b c (Å): 7.2956 7.2956 8.7235
angles (deg): 56.93 56.93 27.12
Fractional coordinates of all 6 atoms:
Sb: 0.7453 0.7453 0.6798
Sb: 0.2692 0.2692 0.2373
Sb: 0.0485 0.0485 0.0073
W: 0.6916 0.6916 0.0489
Sb: 0.3762 0.3762 0.8256
Sb: 0.0358 0.0358 0.3678

Properties
Space-group type: Cm, No. 8

---

(2)
DFT (GGA-PBE) results for a geometry-optimized KSr3 structure.

a b c (Å): 6.8532 4.1836 8.2156
angles (deg): 79.32 90.00 90.00
Fractional coordinates of all 4 atoms:
Sr: 0.5000 0.7780 0.7437
Sr: 0.5000 0.2220 0.2563
K: 0.0000 0.0000 0.0000
Sr: 0.0000 0.5000 0.5000

Properties
Space-group type: P2/m, No. 10
Formation energy from the elements, eV/atom: 0.08

---

no.,volume (Å³ per atom),distance to the lowest polymorph of the same formula (meV/atom)
1,29.2,0
2,57.9,31